[1]
SrTlRe3 | GGA-PBE | relaxed

Cell lengths 4.903, 4.903, 4.903 Å; angles 90.00, 90.00, 90.00 degrees
Sites, in units of the cell vectors:
Sr: 0.000 0.000 0.000
Tl: 0.500 0.500 0.500
Re: 0.000 0.000 0.500
Re: 0.000 0.500 0.000
Re: 0.500 0.000 0.000

Energy above the most stable polymorph in this dataset ... 0.9109 eV per atom
Calculated density ... 12.0 g/cm3
Formation energy from the elements ... 18.1 eV per formula unit
Space-group type ... Pm-3m (221)

[2]
SrZr2TlRe | GGA-PBE | relaxed

Cell lengths 5.424, 5.424, 5.128 Å; angles 90.00, 90.00, 90.00 degrees
Sites, in units of the cell vectors:
Sr: 0.000 0.000 0.000
Zr: 0.000 0.500 0.500
Zr: 0.500 0.000 0.500
Tl: 0.500 0.500 0.500
Re: 0.500 0.500 0.000

Calculated density ... 7.3 g/cm3
Formation energy from the elements ... 7.3 eV per formula unit
Space-group type ... P4/mmm (123)

[3]
Sr2VRe | GGA-PBE | relaxed

Cell lengths 8.666, 8.666, 5.831 Å; angles 90.00, 90.00, 90.00 degrees
Sites, in units of the cell vectors:
Sr: 0.227 0.750 0.125
Sr: 0.250 0.227 0.875
Sr: 0.250 0.273 0.375
Sr: 0.273 0.750 0.625
Sr: 0.727 0.250 0.625
Sr: 0.750 0.727 0.375
Sr: 0.750 0.773 0.875
Sr: 0.773 0.250 0.125
V: 0.000 0.000 0.500
V: 0.000 0.500 0.750
V: 0.500 0.000 0.250
V: 0.500 0.500 0.000
Re: 0.000 0.000 0.000
Re: 0.000 0.500 0.250
Re: 0.500 0.000 0.750
Re: 0.500 0.500 0.500

Energy above the most stable polymorph in this dataset ... 0.1448 eV per atom
Calculated density ... 6.3 g/cm3
Formation energy from the elements ... 6.1 eV per formula unit
Space-group type ... I-42d (122)

[4]
Sr2VRe2 | GGA-PBE | relaxed

Cell lengths 4.129, 4.129, 14.324 Å; angles 90.00, 90.00, 90.00 degrees
Sites, in units of the cell vectors:
Sr: 0.000 0.500 0.250
Sr: 0.000 0.500 0.750
Sr: 0.500 0.000 0.250
Sr: 0.500 0.000 0.750
V: 0.000 0.000 0.000
V: 0.500 0.500 0.500
Re: 0.000 0.000 0.423
Re: 0.000 0.000 0.577
Re: 0.500 0.500 0.077
Re: 0.500 0.500 0.923

Energy above the most stable polymorph in this dataset ... 0.9968 eV per atom
Calculated density ... 8.1 g/cm3
Formation energy from the elements ... 8.6 eV per formula unit
Space-group type ... I4/mmm (139)

[5]
Sr2VRe | GGA-PBE | relaxed

Cell lengths 7.588, 7.588, 7.588 Å; angles 90.00, 90.00, 90.00 degrees
Sites, in units of the cell vectors:
Sr: 0.250 0.250 0.250
Sr: 0.250 0.250 0.750
Sr: 0.250 0.750 0.250
Sr: 0.250 0.750 0.750
Sr: 0.750 0.250 0.250
Sr: 0.750 0.250 0.750
Sr: 0.750 0.750 0.250
Sr: 0.750 0.750 0.750
V: 0.000 0.000 0.000
V: 0.000 0.500 0.500
V: 0.500 0.000 0.500
V: 0.500 0.500 0.000
Re: 0.000 0.000 0.500
Re: 0.000 0.500 0.000
Re: 0.500 0.000 0.000
Re: 0.500 0.500 0.500

Energy above the most stable polymorph in this dataset ... 0.0000 eV per atom
Calculated density ... 6.3 g/cm3
Formation energy from the elements ... 5.5 eV per formula unit
Space-group type ... Fm-3m (225)

[6]
SrV2Re | GGA-PBE | relaxed

Cell lengths 4.825, 4.825, 16.895 Å; angles 90.00, 90.00, 90.00 degrees
Sites, in units of the cell vectors:
Sr: 0.000 0.250 0.375
Sr: 0.000 0.750 0.625
Sr: 0.500 0.250 0.125
Sr: 0.500 0.750 0.875
V: 0.000 0.000 0.000
V: 0.000 0.500 0.000
V: 0.250 0.250 0.750
V: 0.250 0.750 0.250
V: 0.500 0.000 0.500
V: 0.500 0.500 0.500
V: 0.750 0.250 0.750
V: 0.750 0.750 0.250
Re: 0.000 0.250 0.875
Re: 0.000 0.750 0.125
Re: 0.500 0.250 0.625
Re: 0.500 0.750 0.375

Energy above the most stable polymorph in this dataset ... 0.2229 eV per atom
Calculated density ... 6.3 g/cm3
Formation energy from the elements ... 4.5 eV per formula unit
Space-group type ... I4_1/amd (141)

[7]
Sr2V2Re | GGA-PBE | relaxed

Cell lengths 3.294, 3.294, 21.781 Å; angles 90.00, 90.00, 90.00 degrees
Sites, in units of the cell vectors:
Sr: 0.000 0.000 0.103
Sr: 0.000 0.000 0.897
Sr: 0.500 0.500 0.397
Sr: 0.500 0.500 0.603
V: 0.000 0.500 0.250
V: 0.000 0.500 0.750
V: 0.500 0.000 0.250
V: 0.500 0.000 0.750
Re: 0.000 0.000 0.500
Re: 0.500 0.500 0.000

Energy above the most stable polymorph in this dataset ... 0.0000 eV per atom
Calculated density ... 6.5 g/cm3
Formation energy from the elements ... 5.5 eV per formula unit
Space-group type ... I4/mmm (139)

[8]
SrV2Re | GGA-PBE | relaxed

Cell lengths 6.527, 6.527, 6.527 Å; angles 90.00, 90.00, 90.00 degrees
Sites, in units of the cell vectors:
Sr: 0.000 0.000 0.000
Sr: 0.000 0.500 0.500
Sr: 0.500 0.000 0.500
Sr: 0.500 0.500 0.000
V: 0.250 0.250 0.250
V: 0.250 0.250 0.750
V: 0.250 0.750 0.250
V: 0.250 0.750 0.750
V: 0.750 0.250 0.250
V: 0.750 0.250 0.750
V: 0.750 0.750 0.250
V: 0.750 0.750 0.750
Re: 0.000 0.000 0.500
Re: 0.000 0.500 0.000
Re: 0.500 0.000 0.000
Re: 0.500 0.500 0.500

Energy above the most stable polymorph in this dataset ... 0.0000 eV per atom
Calculated density ... 9.0 g/cm3
Formation energy from the elements ... 3.7 eV per formula unit
Space-group type ... Fm-3m (225)

[9]
Sr2V2Re | GGA-PBE | relaxed

Cell lengths 8.706, 8.706, 3.107 Å; angles 90.00, 90.00, 90.00 degrees
Sites, in units of the cell vectors:
Sr: 0.131 0.369 0.000
Sr: 0.369 0.869 0.000
Sr: 0.631 0.131 0.000
Sr: 0.869 0.631 0.000
V: 0.179 0.679 0.500
V: 0.321 0.179 0.500
V: 0.679 0.821 0.500
V: 0.821 0.321 0.500
Re: 0.000 0.000 0.000
Re: 0.500 0.500 0.000

Energy above the most stable polymorph in this dataset ... 0.7455 eV per atom
Calculated density ... 6.5 g/cm3
Formation energy from the elements ... 9.2 eV per formula unit
Space-group type ... P4/mbm (127)

[10]
Sr2VRe2 | GGA-PBE | relaxed

Cell lengths 6.484, 6.484, 5.449 Å; angles 90.00, 90.00, 90.00 degrees
Sites, in units of the cell vectors:
Sr: 0.176 0.324 0.000
Sr: 0.324 0.824 0.000
Sr: 0.676 0.176 0.000
Sr: 0.824 0.676 0.000
V: 0.000 0.000 0.500
V: 0.500 0.500 0.500
Re: 0.134 0.634 0.500
Re: 0.366 0.134 0.500
Re: 0.634 0.866 0.500
Re: 0.866 0.366 0.500

Energy above the most stable polymorph in this dataset ... 0.0000 eV per atom
Calculated density ... 8.7 g/cm3
Formation energy from the elements ... 3.6 eV per formula unit
Space-group type ... P4/mbm (127)

[11]
SrRe4W | GGA-PBE | relaxed

Cell lengths 5.325, 5.325, 5.325 Å; angles 60.00, 60.00, 60.00 degrees
Sites, in units of the cell vectors:
Sr: 0.000 0.000 0.000
Re: 0.375 0.375 0.375
Re: 0.375 0.375 0.874
Re: 0.375 0.874 0.375
Re: 0.874 0.375 0.375
W: 0.750 0.750 0.750

Calculated density ... 15.8 g/cm3
Formation energy from the elements ... 3.8 eV per formula unit
Space-group type ... F-43m (216)

[12]
SrReW4 | GGA-PBE | relaxed

Cell lengths 5.408, 5.408, 5.408 Å; angles 60.00, 60.00, 60.00 degrees
Sites, in units of the cell vectors:
Sr: 0.000 0.000 0.000
Re: 0.250 0.250 0.250
W: 0.126 0.625 0.625
W: 0.625 0.126 0.625
W: 0.625 0.625 0.126
W: 0.625 0.625 0.625

Calculated density ... 15.0 g/cm3
Formation energy from the elements ... 4.8 eV per formula unit
Space-group type ... F-43m (216)